Run i
Computed, not measured: an optimized crystal structure of V2Pd2Br at the PBE level of DFT.

Lattice parameters (Å, degrees): 7.2866 7.2866 3.2385 90.00 90.00 90.00
Last column: magnetic moment on the atom in μB.
Sites, in units of the cell vectors:
V (0.6619, 0.1619, 0.0000)  1.83
V (0.1619, 0.3381, 0.0000)  1.83
Br (0.0000, 0.0000, 0.0000)  -0.01
Pd (0.6305, 0.8695, 0.5000)  0.01
Pd (0.1305, 0.6305, 0.5000)  0.01
Pd (0.3695, 0.1305, 0.5000)  0.01
Pd (0.8695, 0.3695, 0.5000)  0.01
V (0.3381, 0.8381, 0.0000)  1.83
Br (0.5000, 0.5000, 0.0000)  -0.01
V (0.8381, 0.6619, 0.0000)  1.83

Symmetry ... P4/mbm (127)
Total magnetic moment ... 4.2 μB per formula unit


Run ii
Computed, not measured: an optimized crystal structure of V2Pd2Br at the PBE level of DFT.

Lattice parameters (Å, degrees): 3.7693 3.7693 7.0767 74.55 74.55 90.00
Last column: magnetic moment on the atom in μB.
Sites, in units of the cell vectors:
Pd (0.2500, 0.7500, 0.5000)  -0.02
V (0.6099, 0.6099, 0.7802)  2.33
V (0.3901, 0.3901, 0.2198)  2.33
Br (0.0000, 0.0000, 0.0000)  -0.01
Pd (0.7500, 0.2500, 0.5000)  -0.02

Symmetry ... I4/mmm (139)
Total magnetic moment ... 5.6 μB per formula unit


Tell me which of them is the least stable. Sure, it is run ii.


Run i
Computed, not measured: an optimized crystal structure of V2PdBr at the PBE level of DFT.

Lattice parameters (Å, degrees): 6.7716 6.7716 5.8184 54.41 54.41 90.00
Last column: magnetic moment on the atom in μB.
Sites, in units of the cell vectors:
Br (0.2500, 0.7500, 0.5000)  -0.01
Br (0.5000, 0.5000, 0.0000)  -0.01
Pd (0.7500, 0.2500, 0.5000)  -0.03
V (0.1228, 0.6250, 0.2500)  2.10
V (0.6272, 0.1250, 0.2500)  2.10
V (0.8750, 0.8772, 0.7500)  2.10
Pd (0.0000, 0.0000, 0.0000)  -0.03
V (0.3750, 0.3728, 0.7500)  2.10

Symmetry ... I-42d (122)
Total magnetic moment ... 4.8 μB per formula unit


Run ii
Computed, not measured: an optimized crystal structure of V2PdBr at the PBE level of DFT.

Lattice parameters (Å, degrees): 4.4102 4.4102 4.4102 60.00 60.00 60.00
Sites, in units of the cell vectors:
V (0.2500, 0.2500, 0.2500)
Pd (0.5000, 0.5000, 0.5000)
V (0.7500, 0.7500, 0.7500)
Br (0.0000, 0.0000, 0.0000)

Symmetry ... Fm-3m (225)
Total magnetic moment ... 0.0 μB per formula unit


Tell me which of them is the least stable. Sure, it is run i.


Run i
Computed, not measured: an optimized crystal structure of PdWBr at the PBE level of DFT.

Lattice parameters (Å, degrees): 3.1979 5.5049 7.5560 103.77 91.65 102.53
Sites, in units of the cell vectors:
Pd (0.7770, 0.0769, 0.6396)
W (0.0992, 0.7393, 0.3946)
Br (0.9395, 0.4997, 0.0455)
Br (0.3466, 0.0795, 0.2031)
W (0.4820, 0.4280, 0.4875)
Pd (0.0801, 0.6550, 0.7537)

Symmetry ... P1 (1)
Total magnetic moment ... 0.0 μB per formula unit


Run ii
Computed, not measured: an optimized crystal structure of PdWBr at the PBE level of DFT.

Lattice parameters (Å, degrees): 4.4800 3.2023 18.7285 90.00 102.23 90.00
Sites, in units of the cell vectors:
Pd (0.3209, 0.0000, 0.8511)
Pd (0.8225, 0.5000, 0.8488)
W (0.8317, 0.0000, 0.7334)
W (0.3320, 0.5000, 0.7386)
Br (0.9020, 0.0000, 0.1220)
Br (0.2694, 0.5000, 0.9682)
Pd (0.8225, 0.0000, 0.3488)
Br (0.9020, 0.5000, 0.6220)
Pd (0.3209, 0.5000, 0.3511)
W (0.8317, 0.5000, 0.2334)
W (0.3320, 0.0000, 0.2386)
Br (0.2694, 0.0000, 0.4682)

Symmetry ... Cm (8)
Total magnetic moment ... 0.0 μB per formula unit


Tell me which of them is the least stable. Sure, it is run i.


Run i
Computed, not measured: an optimized crystal structure of PdWBr at the PBE level of DFT.

Lattice parameters (Å, degrees): 4.5314 3.1495 9.2668 90.00 98.13 90.00
Sites, in units of the cell vectors:
Pd (0.0358, 0.0000, 0.7012)
W (0.6026, 0.0000, 0.4739)
Br (0.2828, 0.5000, 0.9423)
W (0.1035, 0.5000, 0.4655)
Br (0.8703, 0.0000, 0.2441)
Pd (0.5304, 0.5000, 0.6969)

Symmetry ... Pm (6)
Total magnetic moment ... 0.0 μB per formula unit


Run ii
Computed, not measured: an optimized crystal structure of PdWBr at the PBE level of DFT.

Lattice parameters (Å, degrees): 4.7445 3.1857 8.2055 90.00 106.46 90.00
Sites, in units of the cell vectors:
Pd (0.3328, 0.0000, 0.7506)
W (0.1810, 0.5000, 0.4836)
Pd (0.7815, 0.5000, 0.6575)
Br (0.7316, 0.0000, 0.0445)
W (0.7177, 0.0000, 0.3803)
Br (0.3010, 0.5000, 0.2075)

Symmetry ... Pm (6)
Total magnetic moment ... 0.0 μB per formula unit


Run iii
Computed, not measured: an optimized crystal structure of PdWBr at the PBE level of DFT.

Lattice parameters (Å, degrees): 4.4782 3.1997 9.1952 90.00 91.23 90.00
Sites, in units of the cell vectors:
Pd (0.3121, 0.5000, 0.7006)
Pd (0.8120, 0.0000, 0.6998)
W (0.6765, 0.5000, 0.4781)
Br (0.4674, 0.0000, 0.9340)
Br (0.9882, 0.5000, 0.2445)
W (0.1690, 0.0000, 0.4670)

Symmetry ... Pm (6)
Total magnetic moment ... 0.0 μB per formula unit


Tell me which of them is the least stable. Sure, it is run ii.